1.
## YTaN2 (GGA-PBE)

Data for an optimized crystal structure of YTaN2. Values from VASP.

Structure (Quantum ESPRESSO input):
```
&SYSTEM
  ibrav = 0, nat = 4, ntyp = 3
/
ATOMIC_SPECIES
Y 88.91 Y.upf
Ta 180.95 Ta.upf
N 14.01 N.upf
CELL_PARAMETERS angstrom
1.585 0.915 5.725
-1.585 0.915 5.725
0.000 -1.831 5.725
ATOMIC_POSITIONS crystal
Y 0.000 0.000 0.000
Ta 0.825 0.825 0.825
N 0.418 0.418 0.418
N 0.569 0.569 0.569
```

Values from the calculation:
- Crystal system: trigonal

2.
## YTaN3 (GGA-PBE)

Data for an optimized crystal structure of YTaN3. Values from VASP.

Structure (Quantum ESPRESSO input):
```
&SYSTEM
  ibrav = 0, nat = 5, ntyp = 3
/
ATOMIC_SPECIES
Y 88.91 Y.upf
Ta 180.95 Ta.upf
N 14.01 N.upf
CELL_PARAMETERS angstrom
4.156 0.000 0.000
0.000 4.156 0.000
0.000 0.000 4.156
ATOMIC_POSITIONS crystal
Y 0.000 0.000 0.000
Ta 0.500 0.500 0.500
N 0.000 0.000 0.500
N 0.000 0.500 0.000
N 0.500 0.000 0.000
```

Values from the calculation:
- Crystal system: cubic

3.
## YTa3N (GGA-PBE)

Data for an optimized crystal structure of YTa3N. Values from VASP.

Structure (Quantum ESPRESSO input):
```
&SYSTEM
  ibrav = 0, nat = 5, ntyp = 3
/
ATOMIC_SPECIES
Y 88.91 Y.upf
Ta 180.95 Ta.upf
N 14.01 N.upf
CELL_PARAMETERS angstrom
4.412 0.000 0.000
0.000 4.412 0.000
0.000 0.000 4.412
ATOMIC_POSITIONS crystal
Y 0.000 0.000 0.000
Ta 0.000 0.500 0.500
Ta 0.500 0.000 0.500
Ta 0.500 0.500 0.000
N 0.500 0.500 0.500
```

Values from the calculation:
- Distance to the lowest polymorph of the same formula: 0.0 meV/atom
- Crystal system: cubic

4.
## YTaN2 (GGA-PBE)

Data for an optimized crystal structure of YTaN2. Values from VASP.

Structure (Quantum ESPRESSO input):
```
&SYSTEM
  ibrav = 0, nat = 4, ntyp = 3
/
ATOMIC_SPECIES
Y 88.91 Y.upf
Ta 180.95 Ta.upf
N 14.01 N.upf
CELL_PARAMETERS angstrom
0.000 2.863 2.863
2.863 0.000 2.863
2.863 2.863 0.000
ATOMIC_POSITIONS crystal
Y 0.000 0.000 0.000
Ta 0.500 0.500 0.500
N 0.250 0.250 0.250
N 0.750 0.750 0.750
```

Values from the calculation:
- Crystal system: cubic

5.
## YTa3N (GGA-PBE)

Data for an optimized crystal structure of YTa3N. Values from VASP.

Structure (Quantum ESPRESSO input):
```
&SYSTEM
  ibrav = 0, nat = 5, ntyp = 3
/
ATOMIC_SPECIES
Y 88.91 Y.upf
Ta 180.95 Ta.upf
N 14.01 N.upf
CELL_PARAMETERS angstrom
4.911 0.000 0.000
0.000 4.911 0.000
0.000 0.000 4.911
ATOMIC_POSITIONS crystal
Y 0.000 0.000 0.000
Ta 0.000 0.000 0.500
Ta 0.000 0.500 0.000
Ta 0.500 0.000 0.000
N 0.500 0.500 0.500
```

Values from the calculation:
- Distance to the lowest polymorph of the same formula: 3764.2 meV/atom
- Crystal system: cubic

6.
## Y2TaZnN (GGA-PBE)

Data for an optimized crystal structure of Y2TaZnN. Values from VASP.

Structure (Quantum ESPRESSO input):
```
&SYSTEM
  ibrav = 0, nat = 5, ntyp = 4
/
ATOMIC_SPECIES
Y 88.91 Y.upf
Ta 180.95 Ta.upf
Zn 65.41 Zn.upf
N 14.01 N.upf
CELL_PARAMETERS angstrom
4.871 0.000 0.000
0.000 4.871 0.000
0.000 0.000 4.138
ATOMIC_POSITIONS crystal
Y 0.000 0.500 0.000
Y 0.500 0.000 0.000
Ta 0.000 0.000 0.500
Zn 0.500 0.500 0.500
N 0.000 0.000 0.000
```

Values from the calculation:
- Crystal system: tetragonal

7.
## YZr2TaN4 (GGA-PBE)

Data for an optimized crystal structure of YZr2TaN4. Values from VASP.

Structure (Quantum ESPRESSO input):
```
&SYSTEM
  ibrav = 0, nat = 8, ntyp = 4
/
ATOMIC_SPECIES
Y 88.91 Y.upf
Zr 91.22 Zr.upf
Ta 180.95 Ta.upf
N 14.01 N.upf
CELL_PARAMETERS angstrom
5.654 0.000 0.000
0.000 3.260 0.000
-1.862 0.000 5.364
ATOMIC_POSITIONS crystal
Y 0.000 0.000 0.000
Zr 0.500 0.000 0.500
Zr 0.500 0.500 0.000
Ta 0.000 0.500 0.500
N 0.241 0.000 0.732
N 0.254 0.500 0.267
N 0.746 0.500 0.733
N 0.759 0.000 0.268
```

Values from the calculation:
- Crystal system: monoclinic

8.
## Y3Zr2TaN6 (GGA-PBE)

Data for an optimized crystal structure of Y3Zr2TaN6. Values from VASP.

Structure (Quantum ESPRESSO input):
```
&SYSTEM
  ibrav = 0, nat = 12, ntyp = 4
/
ATOMIC_SPECIES
Y 88.91 Y.upf
Zr 91.22 Zr.upf
Ta 180.95 Ta.upf
N 14.01 N.upf
CELL_PARAMETERS angstrom
2.868 -4.964 0.000
2.868 4.964 0.000
-1.916 0.000 5.488
ATOMIC_POSITIONS crystal
Y 0.000 0.000 0.000
Y 0.333 0.667 0.000
Y 0.667 0.333 0.000
Zr 0.166 0.834 0.500
Zr 0.834 0.166 0.500
Ta 0.500 0.500 0.500
N 0.101 0.424 0.273
N 0.253 0.253 0.730
N 0.424 0.101 0.273
N 0.576 0.899 0.727
N 0.747 0.747 0.270
N 0.899 0.576 0.727
```

Values from the calculation:
- Crystal system: monoclinic

9.
## TaZnN (GGA-PBE)

Data for an optimized crystal structure of TaZnN. Values from VASP.

Structure (Quantum ESPRESSO input):
```
&SYSTEM
  ibrav = 0, nat = 6, ntyp = 3
/
ATOMIC_SPECIES
Ta 180.95 Ta.upf
Zn 65.41 Zn.upf
N 14.01 N.upf
CELL_PARAMETERS angstrom
1.581 0.913 11.773
-1.581 0.913 11.773
0.000 -1.826 11.773
ATOMIC_POSITIONS crystal
Ta 0.093 0.093 0.093
Ta 0.907 0.907 0.907
Zn 0.363 0.363 0.363
Zn 0.637 0.637 0.637
N 0.217 0.217 0.217
N 0.783 0.783 0.783
```

Values from the calculation:
- Crystal system: trigonal

10.
## TaZnN2 (GGA-PBE)

Data for an optimized crystal structure of TaZnN2. Values from VASP.

Structure (Quantum ESPRESSO input):
```
&SYSTEM
  ibrav = 0, nat = 8, ntyp = 3
/
ATOMIC_SPECIES
Ta 180.95 Ta.upf
Zn 65.41 Zn.upf
N 14.01 N.upf
CELL_PARAMETERS angstrom
-2.385 2.385 4.673
2.385 -2.385 4.673
2.385 2.385 -4.673
ATOMIC_POSITIONS crystal
Ta 0.000 0.000 0.000
Ta 0.750 0.250 0.500
Zn 0.250 0.750 0.500
Zn 0.500 0.500 0.000
N 0.108 0.625 0.983
N 0.375 0.358 0.483
N 0.642 0.125 0.017
N 0.875 0.892 0.517
```

Values from the calculation:
- Crystal system: tetragonal

11.
## TaZnN3 (GGA-PBE)

Data for an optimized crystal structure of TaZnN3. Values from VASP.

Structure (Quantum ESPRESSO input):
```
&SYSTEM
  ibrav = 0, nat = 5, ntyp = 3
/
ATOMIC_SPECIES
Ta 180.95 Ta.upf
Zn 65.41 Zn.upf
N 14.01 N.upf
CELL_PARAMETERS angstrom
4.044 0.000 0.000
0.000 4.044 0.000
0.000 0.000 4.044
ATOMIC_POSITIONS crystal
Ta 0.000 0.000 0.000
Zn 0.500 0.500 0.500
N 0.000 0.000 0.500
N 0.000 0.500 0.000
N 0.500 0.000 0.000
```

Values from the calculation:
- Crystal system: cubic

12.
## Ta3Zn3N (GGA-PBE)

Data for an optimized crystal structure of Ta3Zn3N. Values from VASP.

Structure (Quantum ESPRESSO input):
```
&SYSTEM
  ibrav = 0, nat = 28, ntyp = 3
/
ATOMIC_SPECIES
Ta 180.95 Ta.upf
Zn 65.41 Zn.upf
N 14.01 N.upf
CELL_PARAMETERS angstrom
0.000 5.837 5.837
5.837 0.000 5.837
5.837 5.837 0.000
ATOMIC_POSITIONS crystal
Ta 0.056 0.056 0.694
Ta 0.056 0.694 0.056
Ta 0.056 0.694 0.694
Ta 0.306 0.306 0.944
Ta 0.306 0.944 0.306
Ta 0.306 0.944 0.944
Ta 0.694 0.056 0.056
Ta 0.694 0.056 0.694
Ta 0.694 0.694 0.056
Ta 0.944 0.306 0.306
Ta 0.944 0.306 0.944
Ta 0.944 0.944 0.306
Zn 0.000 0.500 0.500
Zn 0.293 0.293 0.293
Zn 0.293 0.293 0.622
Zn 0.293 0.622 0.293
Zn 0.378 0.707 0.707
Zn 0.500 0.000 0.500
Zn 0.500 0.500 0.000
Zn 0.500 0.500 0.500
Zn 0.622 0.293 0.293
Zn 0.707 0.378 0.707
Zn 0.707 0.707 0.378
Zn 0.707 0.707 0.707
N 0.000 0.000 0.000
N 0.000 0.000 0.500
N 0.000 0.500 0.000
N 0.500 0.000 0.000
```

Values from the calculation:
- Crystal system: cubic

no.,N(E_F) (states/eV/f.u.),spin magnetization (μB/cell),E_form (uncorrected) (eV per atom)
1,0.12,0.00,-1.3077
2,3.59,0.00,1.4334
3,5.38,0.00,-0.2354
4,2.39,0.00,-0.3186
5,8.52,0.00,3.5288
6,4.27,0.79,-0.6071
7,3.73,0.00,-1.4689
8,4.40,0.00,-1.5895
9,1.68,0.00,-0.3382
10,1.60,0.00,-0.4484
11,3.57,1.18,0.5596
12,3.70,0.00,-0.4621